Density functional theory data (GGA-PBE) for crystalline NdIrC at its relaxed geometry. Values from VASP.

Structure (Quantum ESPRESSO input):
```
&SYSTEM
  ibrav = 0, nat = 6, ntyp = 3
/
ATOMIC_SPECIES
Nd 144.24 Nd.upf
Ir 192.22 Ir.upf
C 12.01 C.upf
CELL_PARAMETERS angstrom
3.8648 0.0000 0.0000
0.0000 3.8648 0.0000
0.0000 0.0000 7.3989
ATOMIC_POSITIONS crystal
Nd 0.0000 0.0000 0.2500
Nd 0.0000 0.0000 0.7500
Ir 0.5000 0.5000 0.0000
Ir 0.5000 0.5000 0.5000
C 0.0000 0.5000 0.0000
C 0.5000 0.0000 0.5000
```

Calculated values
* energy relative to the lowest polymorph listed for this composition: 0 meV per atom
* V: 55.26 Å³/f.u.
* uncorrected energy: -48.20 eV/cell
* calculated density: 10.47 g cm⁻³
* ΔH_f (0 K): -416 meV/atom

Density functional theory data (GGA-PBE) for crystalline Ag2PbAuCl8 at its relaxed geometry. Values from VASP.

Structure (Quantum ESPRESSO input):
```
&SYSTEM
  ibrav = 0, nat = 12, ntyp = 4
/
ATOMIC_SPECIES
Ag 107.87 Ag.upf
Pb 207.20 Pb.upf
Au 196.97 Au.upf
Cl 35.45 Cl.upf
CELL_PARAMETERS angstrom
6.4014 0.0000 0.0000
0.0000 7.8521 0.0000
-0.4603 0.0000 7.1114
ATOMIC_POSITIONS crystal
Ag 0.0000 0.2431 0.0000
Ag 0.0000 0.7569 0.0000
Pb 0.5000 0.5000 0.5000
Au 0.5000 0.0000 0.5000
Cl 0.1948 0.5000 0.1642
Cl 0.2137 0.0000 0.1431
Cl 0.2866 0.2054 0.6373
Cl 0.2866 0.7946 0.6373
Cl 0.7134 0.2054 0.3627
Cl 0.7134 0.7946 0.3627
Cl 0.7863 0.0000 0.8569
Cl 0.8052 0.5000 0.8358
```

Calculated values
* V: 357.45 Å³/f.u.
* ΔE_f (raw): -497.2 meV/atom
* uncorrected energy: -33.43 eV/cell
* calculated density: 4.20 g cm⁻³

Density functional theory data (GGA-PBE) for crystalline Sr2HoPaAs4 at its relaxed geometry. Values from VASP.

Structure (Quantum ESPRESSO input):
```
&SYSTEM
  ibrav = 0, nat = 8, ntyp = 4
/
ATOMIC_SPECIES
Sr 87.62 Sr.upf
Ho 164.93 Ho.upf
Pa 231.04 Pa.upf
As 74.92 As.upf
CELL_PARAMETERS angstrom
7.3202 0.0000 0.0000
0.0000 4.2816 0.0000
-2.4531 0.0000 7.1307
ATOMIC_POSITIONS crystal
Sr 0.0000 0.0000 0.0000
Sr 0.5000 0.5000 0.0000
Ho 0.0000 0.5000 0.5000
Pa 0.5000 0.0000 0.5000
As 0.2481 0.0000 0.7186
As 0.2670 0.5000 0.2831
As 0.7330 0.5000 0.7169
As 0.7519 0.0000 0.2814
```

Calculated values
* V: 223.49 Å³/f.u.
* uncorrected energy: -46.21 eV/cell
* calculated density: 6.47 g cm⁻³
* ΔH_f (0 K): -1272 meV/atom

Density functional theory data (GGA-PBE) for crystalline La8Dy3Y2 at its relaxed geometry. Values from VASP.

Structure (Quantum ESPRESSO input):
```
&SYSTEM
  ibrav = 0, nat = 13, ntyp = 3
/
ATOMIC_SPECIES
La 138.91 La.upf
Dy 162.50 Dy.upf
Y 88.91 Y.upf
CELL_PARAMETERS angstrom
5.8185 0.0000 0.0000
0.0176 7.7172 0.0000
0.0106 2.7056 10.3198
ATOMIC_POSITIONS crystal
La 0.0000 0.0807 0.1561
La 0.0000 0.9193 0.8439
La 0.0005 0.5779 0.2188
La 0.4989 0.7170 0.7081
La 0.5003 0.1250 0.7077
La 0.4997 0.8750 0.2923
La 0.5011 0.2830 0.2919
La 0.9995 0.4221 0.7812
Dy 0.0008 0.2240 0.5005
Dy 0.5000 0.5000 0.5000
Dy 0.9992 0.7760 0.4995
Y 0.4997 0.2663 0.9823
Y 0.5003 0.7337 0.0177
```

Calculated values
* energy relative to the lowest polymorph listed for this composition: 29 meV per atom
* V: 463.39 Å³/f.u.
* uncorrected energy: -63.89 eV/cell
* calculated density: 6.37 g cm⁻³
* ΔH_f (0 K): 174 meV/atom

Density functional theory data (GGA-PBE) for crystalline CaSnHgPd at its relaxed geometry. Values from VASP.

Structure (Quantum ESPRESSO input):
```
&SYSTEM
  ibrav = 0, nat = 16, ntyp = 4
/
ATOMIC_SPECIES
Ca 40.08 Ca.upf
Sn 118.71 Sn.upf
Hg 200.59 Hg.upf
Pd 106.42 Pd.upf
CELL_PARAMETERS angstrom
7.1016 0.0000 0.0000
0.0000 7.1016 0.0000
0.0000 0.0000 7.1016
ATOMIC_POSITIONS crystal
Ca 0.0000 0.0000 0.0000
Ca 0.0000 0.5000 0.5000
Ca 0.5000 0.0000 0.5000
Ca 0.5000 0.5000 0.0000
Sn 0.0000 0.0000 0.5000
Sn 0.0000 0.5000 0.0000
Sn 0.5000 0.0000 0.0000
Sn 0.5000 0.5000 0.5000
Hg 0.2500 0.2500 0.7500
Hg 0.2500 0.7500 0.2500
Hg 0.7500 0.2500 0.2500
Hg 0.7500 0.7500 0.7500
Pd 0.2500 0.2500 0.2500
Pd 0.2500 0.7500 0.7500
Pd 0.7500 0.2500 0.7500
Pd 0.7500 0.7500 0.2500
```

Calculated values
* V: 89.54 Å³/f.u.
* uncorrected energy: -53.71 eV/cell
* calculated density: 8.64 g cm⁻³
* ΔH_f (0 K): -482 meV/atom

Density functional theory data (GGA-PBE) for crystalline SrEr2CuSe4 at its relaxed geometry. Values from VASP.

Structure (Quantum ESPRESSO input):
```
&SYSTEM
  ibrav = 0, nat = 16, ntyp = 4
/
ATOMIC_SPECIES
Sr 87.62 Sr.upf
Er 167.26 Er.upf
Cu 63.55 Cu.upf
Se 78.96 Se.upf
CELL_PARAMETERS angstrom
2.0375 -6.8088 0.0000
2.0375 6.8088 0.0000
0.0000 0.0000 14.1129
ATOMIC_POSITIONS crystal
Sr 0.1214 0.8786 0.7500
Sr 0.8786 0.1214 0.2500
Er 0.3722 0.6278 0.5607
Er 0.3722 0.6278 0.9393
Er 0.6278 0.3722 0.0607
Er 0.6278 0.3722 0.4393
Cu 0.1500 0.8500 0.2500
Cu 0.8500 0.1500 0.7500
Se 0.0000 0.0000 0.0000
Se 0.0000 0.0000 0.5000
Se 0.2707 0.7293 0.1172
Se 0.2707 0.7293 0.3829
Se 0.4481 0.5519 0.7500
Se 0.5519 0.4481 0.2500
Se 0.7293 0.2707 0.6172
Se 0.7293 0.2707 0.8828
```

Calculated values
* V: 195.79 Å³/f.u.
* ΔE_f (raw): -1559.2 meV/atom
* uncorrected energy: -82.63 eV/cell
* calculated density: 6.80 g cm⁻³

Density functional theory data (GGA-PBE) for crystalline TaBe2In at its relaxed geometry. Values from VASP.

Structure (Quantum ESPRESSO input):
```
&SYSTEM
  ibrav = 0, nat = 4, ntyp = 3
/
ATOMIC_SPECIES
Ta 180.95 Ta.upf
Be 9.01 Be.upf
In 114.82 In.upf
CELL_PARAMETERS angstrom
3.9769 0.0000 0.0000
0.0000 3.9769 0.0000
0.0000 0.0000 3.5954
ATOMIC_POSITIONS crystal
Ta 0.0000 0.0000 0.0000
Be 0.0000 0.5000 0.5000
Be 0.5000 0.0000 0.5000
In 0.5000 0.5000 0.0000
```

Calculated values
* V: 56.86 Å³/f.u.
* uncorrected energy: -21.39 eV/cell
* calculated density: 9.16 g cm⁻³
* ΔH_f (0 K): 164 meV/atom

Density functional theory data (GGA-PBE) for crystalline In2Sn3Pb8 at its relaxed geometry. Values from VASP.

Structure (Quantum ESPRESSO input):
```
&SYSTEM
  ibrav = 0, nat = 13, ntyp = 3
/
ATOMIC_SPECIES
In 114.82 In.upf
Sn 118.71 Sn.upf
Pb 207.20 Pb.upf
CELL_PARAMETERS angstrom
8.5497 -3.2759 0.0000
8.5497 3.2759 0.0000
-2.8887 0.0000 7.8537
ATOMIC_POSITIONS crystal
In 0.2325 0.2325 0.2344
In 0.7675 0.7675 0.7656
Sn 0.2505 0.7495 0.5000
Sn 0.5000 0.5000 0.0000
Sn 0.7495 0.2505 0.5000
Pb 0.1190 0.6175 0.1134
Pb 0.1726 0.1726 0.5553
Pb 0.3759 0.3759 0.6431
Pb 0.3825 0.8810 0.8866
Pb 0.6175 0.1190 0.1134
Pb 0.6241 0.6241 0.3569
Pb 0.8274 0.8274 0.4447
Pb 0.8810 0.3825 0.8866
```

Calculated values
* V: 439.94 Å³/f.u.
* uncorrected energy: -45.31 eV/cell
* calculated density: 8.47 g cm⁻³
* ΔH_f (0 K): 142 meV/atom

Density functional theory data (GGA-PBE) for crystalline CsCd2BiF8 at its relaxed geometry. Values from VASP.

Structure (Quantum ESPRESSO input):
```
&SYSTEM
  ibrav = 0, nat = 12, ntyp = 4
/
ATOMIC_SPECIES
Cs 132.91 Cs.upf
Cd 112.41 Cd.upf
Bi 208.98 Bi.upf
F 19.00 F.upf
CELL_PARAMETERS angstrom
4.2396 0.0000 0.0000
1.3607 6.0999 0.0000
0.8583 1.1707 8.4181
ATOMIC_POSITIONS crystal
Cs 0.0000 0.0000 0.0000
Cd 0.4003 0.4461 0.2162
Cd 0.5997 0.5539 0.7838
Bi 0.0000 0.0000 0.5000
F 0.0570 0.7209 0.7351
F 0.1382 0.7535 0.3190
F 0.3947 0.3246 0.9778
F 0.4371 0.1998 0.4428
F 0.5629 0.8002 0.5572
F 0.6053 0.6754 0.0222
F 0.8618 0.2465 0.6810
F 0.9430 0.2791 0.2649
```

Calculated values
* V: 217.70 Å³/f.u.
* ΔE_f (raw): -2343.5 meV/atom
* uncorrected energy: -49.66 eV/cell
* calculated density: 5.48 g cm⁻³

Density functional theory data (GGA-PBE) for crystalline Tb3Y2HoS6 at its relaxed geometry. Values from VASP.

Structure (Quantum ESPRESSO input):
```
&SYSTEM
  ibrav = 0, nat = 12, ntyp = 4
/
ATOMIC_SPECIES
Tb 158.93 Tb.upf
Y 88.91 Y.upf
Ho 164.93 Ho.upf
S 32.06 S.upf
CELL_PARAMETERS angstrom
3.3839 -5.8857 0.0000
3.3839 5.8857 0.0000
-2.2612 0.0000 6.3953
ATOMIC_POSITIONS crystal
Tb 0.0000 0.0000 0.0000
Tb 0.3322 0.6678 0.0000
Tb 0.6678 0.3322 0.0000
Y 0.1668 0.8332 0.5000
Y 0.8332 0.1668 0.5000
Ho 0.5000 0.5000 0.5000
S 0.0861 0.4174 0.2523
S 0.2515 0.2515 0.7486
S 0.4174 0.0861 0.2523
S 0.5826 0.9139 0.7477
S 0.7485 0.7485 0.2514
S 0.9139 0.5826 0.7477
```

Calculated values
* V: 254.75 Å³/f.u.
* ΔE_f (raw): -2003.2 meV/atom
* uncorrected energy: -80.20 eV/cell
* calculated density: 6.60 g cm⁻³

Density functional theory data (GGA-PBE) for crystalline Ac2CuP2N6 at its relaxed geometry. Values from VASP.

Structure (Quantum ESPRESSO input):
```
&SYSTEM
  ibrav = 0, nat = 11, ntyp = 4
/
ATOMIC_SPECIES
Ac 227.00 Ac.upf
Cu 63.55 Cu.upf
P 30.97 P.upf
N 14.01 N.upf
CELL_PARAMETERS angstrom
5.6035 0.0000 0.0000
-2.8017 4.8528 0.0000
0.0000 0.0000 6.2031
ATOMIC_POSITIONS crystal
Ac 0.3333 0.6667 0.2664
Ac 0.6667 0.3333 0.7336
Cu 0.0000 0.0000 0.0000
P 0.3333 0.6667 0.7802
P 0.6667 0.3333 0.2198
N 0.1507 0.3404 0.7790
N 0.1897 0.8493 0.7790
N 0.3404 0.1897 0.2210
N 0.6596 0.8103 0.7790
N 0.8103 0.1507 0.2210
N 0.8493 0.6596 0.2210
```

Calculated values
* V: 168.68 Å³/f.u.
* ΔE_f (raw): -320.0 meV/atom
* uncorrected energy: -76.60 eV/cell
* calculated density: 6.53 g cm⁻³

Density functional theory data (GGA-PBE) for crystalline Ca2LaRu at its relaxed geometry. Values from VASP.

Structure (Quantum ESPRESSO input):
```
&SYSTEM
  ibrav = 0, nat = 8, ntyp = 3
/
ATOMIC_SPECIES
Ca 40.08 Ca.upf
La 138.91 La.upf
Ru 101.07 Ru.upf
CELL_PARAMETERS angstrom
4.7096 0.0000 0.0000
0.0000 5.3517 0.0000
0.0000 0.0000 9.9135
ATOMIC_POSITIONS crystal
Ca 0.0000 0.0000 0.0000
Ca 0.0000 0.5000 0.3241
Ca 0.5000 0.0000 0.3241
Ca 0.5000 0.5000 0.0000
La 0.0000 0.5000 0.6663
La 0.5000 0.0000 0.6663
Ru 0.0000 0.0000 0.5116
Ru 0.5000 0.5000 0.5116
```

Calculated values
* energy relative to the lowest polymorph listed for this composition: 132 meV per atom
* V: 124.93 Å³/f.u.
* uncorrected energy: -36.58 eV/cell
* calculated density: 4.26 g cm⁻³
* ΔH_f (0 K): -21 meV/atom

Question: Which formula does entry 1 have?
Answer: NdIrC

Please write out number 9 again, unchanged.
Density functional theory data (GGA-PBE) for crystalline CsCd2BiF8 at its relaxed geometry. Values from VASP.

Structure (Quantum ESPRESSO input):
```
&SYSTEM
  ibrav = 0, nat = 12, ntyp = 4
/
ATOMIC_SPECIES
Cs 132.91 Cs.upf
Cd 112.41 Cd.upf
Bi 208.98 Bi.upf
F 19.00 F.upf
CELL_PARAMETERS angstrom
4.2396 0.0000 0.0000
1.3607 6.0999 0.0000
0.8583 1.1707 8.4181
ATOMIC_POSITIONS crystal
Cs 0.0000 0.0000 0.0000
Cd 0.4003 0.4461 0.2162
Cd 0.5997 0.5539 0.7838
Bi 0.0000 0.0000 0.5000
F 0.0570 0.7209 0.7351
F 0.1382 0.7535 0.3190
F 0.3947 0.3246 0.9778
F 0.4371 0.1998 0.4428
F 0.5629 0.8002 0.5572
F 0.6053 0.6754 0.0222
F 0.8618 0.2465 0.6810
F 0.9430 0.2791 0.2649
```

Calculated values
* V: 217.70 Å³/f.u.
* ΔE_f (raw): -2343.5 meV/atom
* uncorrected energy: -49.66 eV/cell
* calculated density: 5.48 g cm⁻³

Question: Number 10 is which compound?
Answer: Tb3Y2HoS6